Compound: TaNi2Ir
Source: the Alexandria database
Functional: PBEsol
Structure: relaxed

Structure (POSCAR):
```
TaNi2Ir
1.0
-0.0115 -2.5007 1.3809
4.2529 0.4248 0.8049
-2.0426 1.8632 3.3573
Ni Ta Ir
2 1 1
Direct
0.0000 0.0000 0.5000 Ni
0.0000 0.5000 0.0000 Ni
0.5000 0.5000 0.5000 Ta
0.5000 0.0000 0.0000 Ir
```

Output
Calculated formation energy, eV per atom: -0.23
SG: Cmmm
Total moment, Bohr magnetons per cell: 0.00